Entry 1:
Below is a relaxed SrNbOs3 crystal, with properties calculated at the PBE level.

Computed properties:
energy above the lowest structure with this stoichiometry	0	meV/atom
calculated total energy	-38.0	eV for the cell shown
density of states at the Fermi level	6.1	states/eV per cell
DFT formation energy	1489	meV/atom
density	10.89	g cm⁻³

Structure (POSCAR):
```
SrNbOs3
1.0
4.8568 0.0000 0.0000
0.0000 4.8568 0.0000
0.0000 0.0000 4.8568
Sr Nb Os
1 1 3
direct
0.5000 0.5000 0.5000
0.0000 0.0000 0.0000
0.0000 0.5000 0.0000
0.0000 0.0000 0.5000
0.5000 0.0000 0.0000
```

Entry 2:
Below is a relaxed LaHg2Bi crystal, with properties calculated at the PBE level.

Computed properties:
calculated total energy	-9.1	eV for the cell shown
density of states at the Fermi level	3.7	states/eV per cell
DFT formation energy	85	meV/atom
density	9.80	g cm⁻³

Structure (POSCAR):
```
LaHg2Bi
1.0
-1.6139 2.9344 1.0177
-2.5880 1.3372 -1.9405
-9.3574 -5.0786 5.8233
La Bi Hg
1 1 2
direct
0.0000 0.0000 0.0000
0.5000 0.5000 0.5000
0.0887 0.0887 0.7340
0.9114 0.9114 0.2660
```

Entry 3:
Below is a relaxed LiNdPb crystal, with properties calculated at the PBE level.

Computed properties:
calculated total energy	-24.0	eV for the cell shown
density of states at the Fermi level	2.0	states/eV per cell
DFT formation energy	-535	meV/atom
density	7.60	g cm⁻³

Structure (POSCAR):
```
LiNdPb
1.0
4.8389 -0.0009 0.0000
-2.4184 4.1912 0.0000
0.0000 0.0000 7.7261
Li Nd Pb
2 2 2
direct
0.3332 0.1668 0.7500
0.6668 0.8332 0.2500
0.0000 0.5000 0.5000
0.0000 0.5000 0.0000
0.6666 0.8334 0.7500
0.3334 0.1666 0.2500
```

Entry 4:
Below is a relaxed Y5AlZn2 crystal, with properties calculated at the PBE level.

Computed properties:
calculated total energy	-81.6	eV for the cell shown
density of states at the Fermi level	20.6	states/eV per cell
DFT formation energy	-271	meV/atom
density	4.81	g cm⁻³

Structure (POSCAR):
```
Y5AlZn2
1.0
-7.4109 -2.9315 -1.0574
1.6119 -1.2712 -7.7730
5.0357 -3.8076 5.8245
Y Al Zn
10 2 4
direct
0.5091 0.6938 0.7029
0.8062 0.9909 0.2971
0.0000 0.0000 0.0000
0.5000 0.5000 0.0000
0.1938 0.0091 0.7029
0.6938 0.1938 0.7029
0.0091 0.5091 0.7029
0.3062 0.8062 0.2971
0.9909 0.4909 0.2971
0.4909 0.3062 0.2971
0.7500 0.7500 0.5000
0.2500 0.2500 0.5000
0.1339 0.3661 0.0000
0.6339 0.1339 0.0000
0.3661 0.8661 0.0000
0.8661 0.6339 0.0000
```

Entry 5:
Below is a relaxed RbAlSb2Te crystal, with properties calculated at the PBE level.

Computed properties:
energy above the lowest structure with this stoichiometry	0	meV/atom
calculated total energy	-16.0	eV for the cell shown
formation energy without anion corrections	23	meV/atom
density of states at the Fermi level	5.0	states/eV per cell
density	4.76	g cm⁻³

Structure (POSCAR):
```
RbAlSb2Te
1.0
5.4055 0.0000 0.0000
0.0000 5.4055 0.0000
0.0000 0.0000 5.7704
Sb Te Al Rb
2 1 1 1
direct
0.0000 0.5000 0.0000
0.5000 0.0000 0.0000
0.0000 0.0000 0.5000
0.0000 0.0000 0.0000
0.5000 0.5000 0.5000
```

Entry 6:
Below is a relaxed Sr2NiNCl crystal, with properties calculated at the PBE level.

Computed properties:
energy above the lowest structure with this stoichiometry	0	meV/atom
calculated total energy	-24.3	eV for the cell shown
formation energy without anion corrections	-993	meV/atom
density of states at the Fermi level	2.4	states/eV per cell
density	4.49	g cm⁻³

Structure (POSCAR):
```
Sr2NiNCl
1.0
-0.2891 3.4695 -4.0931
-3.3461 -1.1745 -0.7591
-2.0518 3.7160 3.2948
Sr N Cl Ni
2 1 1 1
direct
0.0000 0.0000 0.5000
0.5000 0.0000 0.0000
0.0000 0.0000 0.0000
0.5000 0.5000 0.5000
0.0000 0.5000 0.0000
```

Entry 7:
Below is a relaxed TcNiIr2 crystal, with properties calculated at the PBE level.

Computed properties:
energy above the lowest structure with this stoichiometry	54	meV/atom
calculated total energy	-34.1	eV for the cell shown
density of states at the Fermi level	4.3	states/eV per cell
DFT formation energy	-67	meV/atom
density	16.35	g cm⁻³

Structure (POSCAR):
```
TcNiIr2
1.0
4.6614 0.0056 -0.0081
3.8807 2.5823 -0.0081
0.7637 0.2314 4.5731
Ni Ir Tc
1 2 1
direct
0.7500 0.7500 0.7500
0.9989 0.9989 0.9979
0.5011 0.5011 0.5021
0.2500 0.2500 0.2500
```

Entry 8:
Below is a relaxed BaFe2Mo crystal, with properties calculated at the PBE level.

Computed properties:
energy above the lowest structure with this stoichiometry	167	meV/atom
calculated total energy	-26.9	eV for the cell shown
density of states at the Fermi level	4.1	states/eV per cell
DFT formation energy	698	meV/atom
density	7.24	g cm⁻³

Structure (POSCAR):
```
BaFe2Mo
1.0
3.2112 0.0000 0.0000
0.0000 3.2112 0.0000
0.0000 0.0000 7.6680
Ba Fe Mo
1 2 1
direct
0.5000 0.5000 0.7593
0.0000 0.0000 0.0976
0.5000 0.5000 0.2425
0.0000 0.0000 0.4007
```

Entry 9:
Below is a relaxed YMn2Hg crystal, with properties calculated at the PBE level.

Computed properties:
calculated total energy	-23.3	eV for the cell shown
density of states at the Fermi level	3.7	states/eV per cell
DFT formation energy	452	meV/atom
density	7.83	g cm⁻³

Structure (POSCAR):
```
YMn2Hg
1.0
9.3738 -0.0056 -0.0033
8.8073 3.2092 -0.0033
8.8073 1.5519 2.8090
Hg Mn Y
1 2 1
direct
0.7500 0.7500 0.7500
0.0043 0.0043 0.0043
0.4957 0.4957 0.4957
0.2500 0.2500 0.2500
```

Entry 10:
Below is a relaxed Li3Cu2Sn3 crystal, with properties calculated at the PBE level.

Computed properties:
calculated total energy	-54.7	eV for the cell shown
density of states at the Fermi level	4.0	states/eV per cell
DFT formation energy	-173	meV/atom
density	5.42	g cm⁻³

Structure (POSCAR):
```
Li3Cu2Sn3
1.0
-3.8306 -0.8412 2.1817
3.2249 -4.2928 -0.6087
6.2698 2.9860 12.1598
Li Cu Sn
6 4 6
direct
0.9210 0.8421 0.4019
0.0790 0.1579 0.9019
0.9210 0.8421 0.0981
0.0790 0.1579 0.5981
0.7134 0.4269 0.2500
0.2866 0.5731 0.7500
0.7709 0.5417 0.8868
0.2291 0.4583 0.3868
0.7709 0.5417 0.6132
0.2291 0.4583 0.1132
0.6198 0.2396 0.4379
0.3802 0.7604 0.9379
0.6198 0.2396 0.0621
0.3802 0.7604 0.5621
0.4143 0.8287 0.2500
0.5857 0.1713 0.7500
```

Entry 11:
Below is a relaxed Co2SiAg crystal, with properties calculated at the PBE level.

Computed properties:
calculated total energy	-21.9	eV for the cell shown
formation energy without anion corrections	153	meV/atom
density of states at the Fermi level	3.0	states/eV per cell
density	8.44	g cm⁻³

Structure (POSCAR):
```
Co2SiAg
1.0
-0.4997 -1.2305 3.1607
-2.3090 -2.6919 -1.4130
2.9888 -2.3347 -0.4363
Ag Co Si
1 2 1
direct
0.5000 0.0000 0.5000
0.0000 0.0000 0.0000
0.0000 0.5000 0.5000
0.5000 0.5000 0.0000
```

Entry 12:
Below is a relaxed Al2SiTcBi crystal, with properties calculated at the PBE level.

Computed properties:
calculated total energy	-21.4	eV for the cell shown
formation energy without anion corrections	1145	meV/atom
density of states at the Fermi level	4.3	states/eV per cell
density	5.39	g cm⁻³

Structure (POSCAR):
```
Al2SiTcBi
1.0
-2.4937 -3.2136 -2.3159
2.8924 -3.9730 2.3986
-3.0922 -0.1312 3.5116
Si Al Bi Tc
1 2 1 1
direct
0.0000 0.0000 0.0000
0.0000 0.0000 0.5000
0.5000 0.0000 0.0000
0.0000 0.5000 0.0000
0.5000 0.5000 0.5000
```